No. 1
8
Lattice="6.685 0.000 0.000 0.000 3.916 0.000 -2.286 0.000 6.394" Properties=species:S:1:pos:R:3 comment="PBE SmSc2PaP4, relaxed" density_g_cm3=5.9 energy_ha_per_atom=-0.27638 magmom_total_mub_per_fu=0.0 pbc="T T T"
Sm 0.000 0.000 0.000
Sc 2.199 0.000 3.197
Sc 3.343 1.958 0.000
Pa -1.143 1.958 3.197
P 0.057 0.000 4.796
P 1.181 1.958 1.681
P 3.217 1.958 4.713
P 4.342 0.000 1.598


No. 2
12
Lattice="9.862 -2.264 0.000 9.862 2.264 0.000 -2.038 0.000 8.858" Properties=species:S:1:pos:R:3 comment="PBE La3Pm2PrTe6, relaxed" density_g_cm3=6.8 raw_formation_energy_ev_per_atom=-1.51 energy_ha_per_atom=-0.20226 magmom_total_mub_per_fu=0.0 pbc="T T T"
La 0.000 0.000 0.000
La 5.241 0.000 5.910
La 12.444 0.000 2.948
Pm 6.236 0.000 1.480
Pm 11.449 0.000 7.378
Pr -1.019 0.000 4.429
Te 2.094 0.000 5.211
Te 3.160 0.000 0.701
Te 9.307 0.000 2.217
Te 8.378 0.000 6.641
Te 14.525 0.000 8.157
Te 15.592 0.000 3.648


No. 3
4
Lattice="4.296 0.000 0.000 0.000 4.296 0.000 0.000 0.000 4.140" Properties=species:S:1:pos:R:3 comment="PBE PmZnSi2, relaxed" density_g_cm3=5.8 raw_formation_energy_ev_per_atom=-0.25 energy_ha_per_atom=-0.16436 magmom_total_mub_per_fu=0.0 polymorph_energy_mev_per_atom=0 pbc="T T T"
Pm 0.000 0.000 0.000
Zn 2.148 2.148 0.000
Si 0.000 2.148 2.070
Si 2.148 0.000 2.070


No. 4
14
Lattice="1.711 -6.942 0.000 1.711 6.942 0.000 0.000 0.000 15.079" Properties=species:S:1:pos:R:3 comment="PBE Mg4In2Bi, relaxed" density_g_cm3=5.0 energy_ha_per_atom=-0.08451 magmom_total_mub_per_fu=0.0 polymorph_energy_mev_per_atom=0 pbc="T T T"
Mg 0.000 0.000 0.000
Mg 0.000 0.000 7.539
Mg 1.711 2.466 11.309
Mg 1.711 2.264 2.157
Mg 1.711 2.264 5.383
Mg 1.711 -2.264 9.696
Mg 1.711 -2.264 12.922
Mg 1.711 -2.466 3.770
In 1.711 2.384 8.396
In 1.711 2.384 14.223
In 1.711 -2.384 0.856
In 1.711 -2.384 6.683
Bi 1.711 6.720 11.309
Bi 1.711 -6.720 3.770


No. 5
4
Lattice="2.731 0.000 0.000 0.000 2.731 0.000 0.000 0.000 7.332" Properties=species:S:1:pos:R:3 comment="PBE ZnCrOs2, relaxed" density_g_cm3=15.1 energy_ha_per_atom=-0.30026 magmom_total_mub_per_fu=0.0 pbc="T T T"
Zn 0.000 0.000 0.000
Cr 0.000 0.000 3.666
Os 1.365 1.365 1.953
Os 1.365 1.365 5.379


No. 6
15
Lattice="4.578 2.643 7.633 -4.578 2.643 7.633 0.000 -5.286 7.633" Properties=species:S:1:pos:R:3 comment="PBE Ac3Pr3NdTe8, relaxed" density_g_cm3=6.8 raw_formation_energy_ev_per_atom=-1.49 energy_ha_per_atom=-0.19343 magmom_total_mub_per_fu=0.0 pbc="T T T"
Ac -2.289 -1.322 7.633
Ac -2.289 1.322 15.267
Ac 0.000 2.643 7.633
Pr -4.578 0.000 11.450
Pr -2.289 1.322 3.817
Pr 2.289 1.322 3.817
Nd 0.000 0.000 11.450
Te -2.325 -1.342 13.300
Te 0.000 0.000 5.635
Te 0.000 -2.685 9.601
Te -2.325 1.342 9.601
Te 2.325 -1.342 13.300
Te 0.000 2.685 13.300
Te 0.000 0.000 17.266
Te 2.325 1.342 9.601


No. 7
11
Lattice="6.235 -5.548 0.000 6.235 5.548 0.000 -2.640 0.000 5.106" Properties=species:S:1:pos:R:3 comment="PBE TbDy3Ho7, relaxed" density_g_cm3=8.5 energy_ha_per_atom=-0.15863 magmom_total_mub_per_fu=0.3 polymorph_energy_mev_per_atom=123 pbc="T T T"
Tb 0.000 0.000 0.000
Dy 4.915 2.305 2.553
Dy 6.235 0.000 0.000
Dy 4.915 -2.305 2.553
Ho -1.320 0.000 2.553
Ho 1.599 2.200 4.071
Ho 2.877 0.000 1.505
Ho 1.599 -2.200 4.071
Ho 8.231 2.200 1.035
Ho 6.952 0.000 3.601
Ho 8.231 -2.200 1.035


No. 8
3
Lattice="4.262 0.000 0.000 -2.131 3.691 0.000 0.000 0.000 2.691" Properties=species:S:1:pos:R:3 comment="PBE CrMoOs, relaxed" density_g_cm3=13.3 energy_ha_per_atom=-0.38160 magmom_total_mub_per_fu=0.0 polymorph_energy_mev_per_atom=34 pbc="T T T"
Cr 0.000 0.000 0.000
Mo 2.131 1.230 0.637
Os 0.000 2.461 1.691


No. 9
8
Lattice="7.156 0.000 0.000 0.000 4.129 0.000 -2.389 0.000 7.498" Properties=species:S:1:pos:R:3 comment="PBE NdNpTl2S4, relaxed" density_g_cm3=6.9 raw_formation_energy_ev_per_atom=-1.23 energy_ha_per_atom=-0.22397 magmom_total_mub_per_fu=4.0 pbc="T T T"
Nd 0.000 0.000 0.000
Np 3.578 2.065 0.000
Tl -1.194 2.065 3.749
Tl 2.383 0.000 3.749
S 1.236 2.065 1.520
S 0.057 0.000 6.022
S 4.710 0.000 1.476
S 3.531 2.065 5.978


No. 10
6
Lattice="4.339 -1.540 0.000 4.339 1.540 0.000 -0.184 0.000 7.842" Properties=species:S:1:pos:R:3 comment="PBE ReP5, relaxed" density_g_cm3=5.4 energy_ha_per_atom=-0.23671 magmom_total_mub_per_fu=0.0 polymorph_energy_mev_per_atom=0 pbc="T T T"
Re 0.000 0.000 0.000
P 2.306 0.000 5.157
P 2.296 0.000 7.412
P 4.448 0.000 5.935
P 5.046 0.000 1.976
P 7.898 0.000 2.420


No. 11
3
Lattice="0.000 3.476 3.476 3.476 0.000 3.476 3.476 3.476 0.000" Properties=species:S:1:pos:R:3 comment="PBE CdAsCl, relaxed" density_g_cm3=4.4 raw_formation_energy_ev_per_atom=0.61 energy_ha_per_atom=-0.06846 magmom_total_mub_per_fu=2.0 polymorph_energy_mev_per_atom=1156 pbc="T T T"
Cd 0.000 0.000 0.000
As 3.476 3.476 3.476
Cl 5.214 5.214 5.214


No. 12
4
Lattice="3.039 0.000 0.000 0.000 4.583 0.000 -0.244 0.000 6.550" Properties=species:S:1:pos:R:3 comment="PBE LiTlAs2, relaxed" density_g_cm3=6.6 energy_ha_per_atom=-0.12640 magmom_total_mub_per_fu=0.0 pbc="T T T"
Li 0.000 0.000 0.000
Tl 2.571 2.291 2.327
As 1.243 0.000 4.274
As 1.251 2.291 5.724


No. 13
4
Lattice="1.575 0.909 9.296 -1.575 0.909 9.296 0.000 -1.818 9.296" Properties=species:S:1:pos:R:3 comment="PBE KBeZn2, relaxed" density_g_cm3=3.7 energy_ha_per_atom=-0.04473 magmom_total_mub_per_fu=0.0 pbc="T T T"
K 0.000 0.000 0.000
Be 0.000 0.000 21.369
Zn 0.000 0.000 6.410
Zn 0.000 0.000 13.668


No. 14
36
Lattice="7.802 0.000 0.000 0.000 15.173 0.000 0.000 0.000 7.947" Properties=species:S:1:pos:R:3 comment="PBE Nd5Si4, relaxed" density_g_cm3=5.9 raw_formation_energy_ev_per_atom=-0.68 energy_ha_per_atom=-0.21092 magmom_total_mub_per_fu=0.0 polymorph_energy_mev_per_atom=7 pbc="T T T"
Nd 0.349 1.549 1.495
Nd 0.349 6.037 1.495
Nd 1.062 11.379 4.060
Nd 1.495 1.838 5.411
Nd 1.495 5.748 5.411
Nd 2.406 9.425 1.437
Nd 2.406 13.334 1.437
Nd 2.839 3.793 0.087
Nd 3.552 9.136 5.468
Nd 3.552 13.623 5.468
Nd 4.250 1.549 2.479
Nd 4.250 6.037 2.479
Nd 4.963 11.379 7.860
Nd 5.395 1.838 6.510
Nd 5.395 5.748 6.510
Nd 6.307 9.425 2.536
Nd 6.307 13.334 2.536
Nd 6.740 3.793 3.887
Nd 7.453 9.136 6.453
Nd 7.453 13.623 6.453
Si 0.109 11.379 0.805
Si 1.032 8.218 3.775
Si 1.032 14.540 3.775
Si 1.919 11.379 6.988
Si 1.982 3.793 3.014
Si 2.869 0.632 7.749
Si 2.869 6.954 7.749
Si 3.792 3.793 4.778
Si 4.009 11.379 3.169
Si 4.933 8.218 0.198
Si 4.933 14.540 0.198
Si 5.820 11.379 4.933
Si 5.883 3.793 0.959
Si 6.770 0.632 4.172
Si 6.770 6.954 4.172
Si 7.693 3.793 7.142


No. 15
5
Lattice="4.975 0.000 0.000 0.000 4.975 0.000 0.000 0.000 4.975" Properties=species:S:1:pos:R:3 comment="PBE SrZrMo3, relaxed" density_g_cm3=6.3 energy_ha_per_atom=-0.25337 magmom_total_mub_per_fu=0.0 polymorph_energy_mev_per_atom=0 pbc="T T T"
Sr 0.000 0.000 0.000
Zr 2.487 2.487 2.487
Mo 0.000 2.487 2.487
Mo 2.487 0.000 2.487
Mo 2.487 2.487 0.000


No. 16
5
Lattice="4.333 0.000 0.000 0.000 4.333 0.000 0.000 0.000 4.081" Properties=species:S:1:pos:R:3 comment="PBE BeAuOF2, relaxed" density_g_cm3=5.6 raw_formation_energy_ev_per_atom=0.07 energy_ha_per_atom=-0.11292 magmom_total_mub_per_fu=0.4 polymorph_energy_mev_per_atom=1543 pbc="T T T"
Be 0.000 0.000 0.000
Au 2.166 2.166 2.041
O 2.166 2.166 0.000
F 0.000 2.166 2.041
F 2.166 0.000 2.041


No. 17
4
Lattice="3.836 0.000 0.000 0.000 4.197 0.000 0.000 0.000 6.702" Properties=species:S:1:pos:R:3 comment="PBE Ca2MnSb, relaxed" density_g_cm3=4.0 raw_formation_energy_ev_per_atom=-0.19 energy_ha_per_atom=-0.16573 magmom_total_mub_per_fu=4.1 pbc="T T T"
Ca 0.000 0.000 1.647
Ca 0.000 0.000 5.055
Mn 1.918 2.099 3.351
Sb 1.918 2.099 0.000


No. 18
12
Lattice="4.954 -5.037 0.000 4.954 5.037 0.000 0.000 0.000 6.705" Properties=species:S:1:pos:R:3 comment="PBE Ho2Hg3Pb, relaxed" density_g_cm3=11.3 energy_ha_per_atom=-0.09081 magmom_total_mub_per_fu=0.0 polymorph_energy_mev_per_atom=0 pbc="T T T"
Ho 2.256 0.000 0.000
Ho 2.256 0.000 3.352
Ho 7.653 0.000 0.000
Ho 7.653 0.000 3.352
Hg 3.407 2.563 5.028
Hg 6.501 2.563 5.028
Hg 4.954 0.000 1.676
Hg 4.954 0.000 5.028
Hg 3.407 -2.563 1.676
Hg 6.501 -2.563 1.676
Pb 4.954 2.991 1.676
Pb 4.954 -2.991 5.028


No. 19
8
Lattice="-3.416 3.666 4.073 3.416 -3.666 4.073 3.416 3.666 -4.073" Properties=species:S:1:pos:R:3 comment="PBE PaTlAg2S4, relaxed" density_g_cm3=6.3 raw_formation_energy_ev_per_atom=-0.63 energy_ha_per_atom=-0.17972 magmom_total_mub_per_fu=0.0 pbc="T T T"
Pa 0.000 0.000 0.000
Tl 0.000 0.000 4.073
Ag 3.416 0.000 1.468
Ag 0.000 3.666 2.604
S 1.478 1.536 -1.414
S 5.355 1.536 1.414
S 1.938 2.130 2.658
S -1.938 2.130 5.487


No. 20
5
Lattice="5.316 0.000 0.000 0.000 5.316 0.000 0.000 0.000 5.316" Properties=species:S:1:pos:R:3 comment="PBE LiCaS3, relaxed" density_g_cm3=1.6 raw_formation_energy_ev_per_atom=-0.22 energy_ha_per_atom=-0.12801 magmom_total_mub_per_fu=3.0 polymorph_energy_mev_per_atom=318 pbc="T T T"
Li 0.000 0.000 0.000
Ca 2.658 2.658 2.658
S 0.000 2.658 2.658
S 2.658 0.000 2.658
S 2.658 2.658 0.000